*A*
A plane-wave DFT calculation with PBE was carried out for Fe2Cu2Rh after structural relaxation.

Results
- V (Å³/atom) = 12.815

Cell: 3.162 3.162 6.789 Å, 76.54 76.54 90.00°
Sites, in units of the cell vectors:
Cu1 0.602 0.602 0.797
Cu2 0.398 0.398 0.203
Fe1 0.750 0.250 0.500
Fe2 0.250 0.750 0.500
Rh1 0.000 0.000 0.000

*B*
A plane-wave DFT calculation with PBE was carried out for Fe2Cu2Rh after structural relaxation.

Results
- V (Å³/atom) = 12.908

Cell: 6.941 6.941 2.679 Å, 90.00 90.00 90.00°
Site moments in Bohr magnetons follow the coordinates.
Sites, in units of the cell vectors:
Rh1 0.500 0.500 0.000  0.89
Rh2 0.000 0.000 0.000  0.89
Cu1 0.823 0.323 0.500  0.18
Cu2 0.177 0.677 0.500  0.18
Cu3 0.677 0.823 0.500  0.18
Cu4 0.323 0.177 0.500  0.18
Fe1 0.119 0.381 0.000  2.74
Fe2 0.381 0.881 0.000  2.74
Fe3 0.881 0.619 0.000  2.74
Fe4 0.619 0.119 0.000  2.74

*C*
A plane-wave DFT calculation with PBE was carried out for Fe2Cu2Rh after structural relaxation.

Results
- V (Å³/atom) = 12.758

Cell: 6.767 6.767 2.786 Å, 90.00 90.00 90.00°
Site moments in Bohr magnetons follow the coordinates.
Sites, in units of the cell vectors:
Cu1 0.125 0.375 0.000  0.16
Cu2 0.625 0.125 0.000  0.15
Cu3 0.875 0.625 0.000  0.16
Cu4 0.375 0.875 0.000  0.15
Rh1 0.500 0.500 0.000  0.53
Rh2 0.000 0.000 0.000  0.53
Fe1 0.326 0.174 0.500  2.79
Fe2 0.674 0.826 0.500  2.79
Fe3 0.826 0.326 0.500  2.82
Fe4 0.174 0.674 0.500  2.82

Which is most stable, and by how much? *C*, by 6.0 kJ/mol of atoms.